8
Lattice="5.980 0.246 0.000 -0.251 5.980 0.000 -2.865 -3.113 4.126" Properties=species:S:1:pos:R:3 comment="Ag2HgMoO4, relaxed, DFT PBE+U" volume_a3_per_fu=147.8 total_magnetization_mub_per_atom=0.000 energy_ry_per_atom=-0.360 sg="I-42m, No. 121" pbc="T T T"
Ag -0.125 2.990 2.063
Ag 2.990 0.123 2.063
O -0.989 -1.075 3.056
O 0.989 1.075 3.056
O 1.790 4.102 1.069
O 3.940 2.124 1.069
Mo 0.000 0.000 4.126
Hg 0.000 0.000 0.003